First-principles (PBE) data for crystalline Dy9Y2Ho at its relaxed geometry, as listed in the Alexandria database.

Structure (POSCAR):
```
Dy9Y2Ho
1.0
11.218 0.000 0.000
-5.609 9.715 0.000
0.000 0.000 3.481
Dy Y Ho
9 2 1
Direct
0.000 0.500 0.000 Dy
0.175 0.350 0.500 Dy
0.175 0.825 0.500 Dy
0.350 0.175 0.500 Dy
0.500 0.000 0.000 Dy
0.500 0.500 0.000 Dy
0.650 0.825 0.500 Dy
0.825 0.175 0.500 Dy
0.825 0.650 0.500 Dy
0.333 0.667 0.000 Y
0.667 0.333 0.000 Y
0.000 0.000 0.000 Ho
```

The energy above the most stable polymorph in this dataset is 37 meV/atom. The total moment is 0.0 μB/f.u. The calculation puts the density of states at the Fermi level at 1.58 states/eV per atom. The value obtained for the energy of formation is 0.06 eV per atom.

---

First-principles (PBE) data for crystalline GaRhCl2 at its relaxed geometry, as listed in the Alexandria database.

Structure (POSCAR):
```
GaRhCl2
1.0
0.000 3.401 3.401
3.401 0.000 3.401
3.401 3.401 0.000
Ga Rh Cl
1 1 2
Direct
0.000 0.000 0.000 Ga
0.500 0.500 0.500 Rh
0.250 0.250 0.250 Cl
0.750 0.750 0.750 Cl
```

The energy above the most stable polymorph in this dataset is 136 meV/atom. The total moment is 2.0 μB/f.u. The calculation puts the density of states at the Fermi level at 0.88 states/eV per atom. Its energy relative to the elements, uncorrected is 131 meV/atom.

---

First-principles (PBE) data for crystalline CsYSi at its relaxed geometry, as listed in the Alexandria database.

Structure (POSCAR):
```
CsYSi
1.0
4.669 0.000 0.000
2.332 4.046 0.000
0.486 0.507 14.623
Cs Y Si
2 2 2
Direct
0.000 0.000 0.000 Cs
0.360 0.417 0.345 Cs
0.017 0.051 0.595 Y
0.677 0.697 0.764 Y
0.341 0.355 0.834 Si
0.347 0.376 0.667 Si
```

The energy above the most stable polymorph in this dataset is 0 meV/atom. The total moment is 0.3 μB/f.u. The calculation puts the density of states at the Fermi level at 0.79 states/eV per atom. Its energy relative to the elements, uncorrected is -126 meV/atom.

---

First-principles (PBE) data for crystalline Sc3CuIr at its relaxed geometry, as listed in the Alexandria database.

Structure (POSCAR):
```
Sc3CuIr
1.0
5.010 0.000 0.000
0.000 5.010 0.000
0.000 0.000 5.010
Sc Cu Ir
3 1 1
Direct
0.000 0.000 0.500 Sc
0.000 0.500 0.000 Sc
0.500 0.000 0.000 Sc
0.500 0.500 0.500 Cu
0.000 0.000 0.000 Ir
```

The energy above the most stable polymorph in this dataset is 508 meV/atom. The total moment is 0.0 μB/f.u. The calculation puts the density of states at the Fermi level at 0.68 states/eV per atom. The value obtained for the energy of formation is -0.04 eV per atom.

---

First-principles (PBE) data for crystalline SiNi6Mo at its relaxed geometry, as listed in the Alexandria database.

Structure (POSCAR):
```
SiNi6Mo
1.0
3.569 -5.068 0.000
3.569 5.068 0.000
0.000 0.000 10.120
Si Ni Mo
4 24 4
Direct
0.000 0.000 0.246 Si
0.000 0.000 0.754 Si
0.257 0.743 0.000 Si
0.743 0.257 0.000 Si
0.000 0.000 0.000 Ni
0.000 0.000 0.500 Ni
0.121 0.369 0.372 Ni
0.121 0.369 0.628 Ni
0.122 0.373 0.123 Ni
0.122 0.373 0.877 Ni
0.249 0.751 0.247 Ni
0.249 0.751 0.753 Ni
0.369 0.121 0.372 Ni
0.369 0.121 0.628 Ni
0.373 0.122 0.123 Ni
0.373 0.122 0.877 Ni
0.500 0.500 0.000 Ni
0.500 0.500 0.500 Ni
0.627 0.878 0.123 Ni
0.627 0.878 0.877 Ni
0.631 0.879 0.372 Ni
0.631 0.879 0.628 Ni
0.751 0.249 0.247 Ni
0.751 0.249 0.753 Ni
0.878 0.627 0.123 Ni
0.878 0.627 0.877 Ni
0.879 0.631 0.372 Ni
0.879 0.631 0.628 Ni
0.257 0.743 0.500 Mo
0.500 0.500 0.245 Mo
0.500 0.500 0.755 Mo
0.743 0.257 0.500 Mo
```

The total moment is 0.0 μB/f.u. The calculation puts the density of states at the Fermi level at 1.11 states/eV per atom. Its energy relative to the elements, uncorrected is -189 meV/atom.

---

First-principles (PBE) data for crystalline Ca2ScRe at its relaxed geometry, as listed in the Alexandria database.

Structure (POSCAR):
```
Ca2ScRe
1.0
3.047 0.000 0.000
0.000 5.169 0.000
-1.387 0.000 5.938
Ca Sc Re
2 1 1
Direct
0.030 0.000 0.267 Ca
0.970 0.000 0.733 Ca
0.500 0.500 0.000 Sc
0.500 0.500 0.500 Re
```

The energy above the most stable polymorph in this dataset is 389 meV/atom. The total moment is 0.0 μB/f.u. The calculation puts the density of states at the Fermi level at 1.23 states/eV per atom. The value obtained for the energy of formation is 0.66 eV per atom.